No. 1
VSi2HgC | GGA-PBE | optimized geometry

Calculated values
Its density of states at the Fermi level is 1.03 states/eV/atom. The polymorph energy (0 for the lowest one) comes out at 0 meV/atom. As for the formation energy from raw total energies: 1.219 eV per atom.

abc: 3.9801 3.9801 4.7021
angles: 90.00 90.00 90.00
With the nearest neighbours (Å) after each atom.
Fractional positions:
V 0.0000 0.0000 0.0000  4 Hg 2.81, 8 Si 3.08
Si 0.0000 0.5000 0.5000  2 C 1.99
Si 0.5000 0.0000 0.5000  2 C 1.99
Hg 0.5000 0.5000 0.0000  2 C 2.35
C 0.5000 0.5000 0.5000  4 Si 1.99

***

No. 2
CoNi2Cl | GGA-PBE | optimized geometry

Calculated values
Its density of states at the Fermi level is 1.33 states/eV/atom. The polymorph energy (0 for the lowest one) comes out at 367 meV/atom. As for the formation energy from raw total energies: 0.582 eV per atom.

abc: 4.4209 4.4209 2.7334
angles: 90.15 90.15 111.22
With the nearest neighbours (Å) after each atom.
Fractional positions:
Co 0.0000 0.0000 0.0000  2 Cl 2.50, 8 Ni 2.60, 2 Co 2.73
Ni 0.0000 0.5000 0.5000  4 Ni 2.50-2.73, 4 Cl 2.60, 4 Co 2.60
Ni 0.5000 0.0000 0.5000  4 Ni 2.50-2.73, 4 Cl 2.60, 4 Co 2.60
Cl 0.5000 0.5000 0.0000  2 Co 2.50, 8 Ni 2.60, 2 Cl 2.73

***

No. 3
Mg3H3Ir | GGA-PBE | optimized geometry

Calculated values
Its density of states at the Fermi level is 0.19 states/eV/atom. The polymorph energy (0 for the lowest one) comes out at 38 meV/atom.

abc: 3.0220 4.6224 6.9841
angles: 108.17 102.39 90.05
With the nearest neighbours (Å) after each atom.
Fractional positions:
Mg 0.0000 0.0000 0.0000  2 H 2.00
Mg 0.1742 0.6961 0.3480  4 H 2.19-2.21
Mg 0.3505 0.3848 0.7023  1 H 1.98
H 0.4098 0.0424 0.8185  3 Mg 1.98-2.00
H 0.5875 0.3732 0.1726  1 Ir 1.68
H 0.7670 0.0154 0.5327  1 Ir 1.69
Ir 0.6779 0.1986 0.3545  2 H 1.68-1.69

***

No. 4
La2MnZn2 | GGA-PBE | optimized geometry

Calculated values
Its density of states at the Fermi level is 1.47 states/eV/atom. For the total energy, the calculation gives -0.320 Ry/atom.

abc: 7.1803 7.1803 4.7582
angles: 90.00 90.00 90.00
With the nearest neighbours (Å) after each atom.
Fractional positions:
La 0.1742 0.3258 0.0000  6 Zn 3.10-3.25
La 0.3258 0.8258 0.0000  6 Zn 3.10-3.25
La 0.6742 0.1742 0.0000  6 Zn 3.10-3.25
La 0.8258 0.6742 0.0000  6 Zn 3.10-3.25
Mn 0.0000 0.0000 0.5000  4 Zn 2.81
Mn 0.5000 0.5000 0.5000  4 Zn 2.81
Zn 0.1303 0.6303 0.5000  1 Zn 2.65, 2 Mn 2.81
Zn 0.3697 0.1303 0.5000  1 Zn 2.65, 2 Mn 2.81
Zn 0.6303 0.8697 0.5000  1 Zn 2.65, 2 Mn 2.81
Zn 0.8697 0.3697 0.5000  1 Zn 2.65, 2 Mn 2.81

***

No. 5
Ca2Pm3Pd2 | GGA-PBE | optimized geometry

Calculated values
Its density of states at the Fermi level is 0.83 states/eV/atom. For the total energy, the calculation gives -0.335 Ry/atom.

abc: 6.7160 6.7160 9.2796
angles: 116.20 116.20 34.33
With the nearest neighbours (Å) after each atom.
Fractional positions:
Ca 0.1636 0.1636 0.3083  2 Pd 3.14
Ca 0.8364 0.8364 0.6917  2 Pd 3.14
Pm 0.3807 0.3807 0.0600  3 Pd 2.95-2.98
Pm 0.5000 0.5000 0.5000  4 Pd 3.01
Pm 0.6193 0.6193 0.9400  3 Pd 2.95-2.98
Pd 0.1654 0.1654 0.7404  5 Pm 2.95-3.01, 2 Ca 3.14
Pd 0.8346 0.8346 0.2596  5 Pm 2.95-3.01, 2 Ca 3.14

***

No. 6
SrSiCl2O | GGA-PBE | optimized geometry

Calculated values
Its density of states at the Fermi level is 0.91 states/eV/atom. As for the formation energy from raw total energies: -0.481 eV per atom.

abc: 4.5391 4.5391 6.6217
angles: 90.00 90.00 90.00
With the nearest neighbours (Å) after each atom.
Fractional positions:
Sr 0.0000 0.0000 0.0000  4 O 3.21, 2 Si 3.31
Si 0.0000 0.0000 0.5000  4 Cl 2.27
Cl 0.0000 0.5000 0.5000  2 Si 2.27
Cl 0.5000 0.0000 0.5000  2 Si 2.27
O 0.5000 0.5000 0.0000  4 Sr 3.21